VASP calculation (GGA-PBE) on crystalline BaAg2 at its relaxed geometry.

Values from the calculation:
Its volume is 28.7 A^3/atom. As for the total energy: -2.68 eV per atom. The calculation puts the density at 6.81 g cm⁻³.

a b c (Å): 3.930 3.930 11.142
angles (deg): 90.00 90.00 90.00
Fractional positions:
Ba 0.000 0.000 0.000
Ba 0.500 0.500 0.500
Ag 0.000 0.000 0.301
Ag 0.000 0.000 0.699
Ag 0.500 0.500 0.199
Ag 0.500 0.500 0.801